(1)
Material: Ti5CO
Method: DFT, PBE
State: relaxed

Values from the calculation:
uncorrected formation energy = -5.69 eV per formula unit
D(E_F) = 6.27 states/eV/f.u.

a b c (Å): 9.333 5.906 8.312
angles (deg): 90.00 120.04 90.00
Space group C2/c (No. 15)
One atom of each set of equivalent atoms:
Ti (0.000, 0.102, 0.250)
Ti (0.082, 0.307, 0.947)
Ti (0.245, 0.077, 0.684)
C (0.000, 0.000, 0.000)
O (0.000, 0.440, 0.250)

(2)
Material: PaSi3Rh5
Method: DFT, PBE
State: relaxed

Values from the calculation:
uncorrected formation energy = -6.35 eV per formula unit
D(E_F) = 6.72 states/eV/f.u.

a b c (Å): 3.756 12.384 12.592
angles (deg): 90.00 90.00 90.00
Space group Cmcm (No. 63)
One atom of each set of equivalent atoms:
Pa (0.000, 0.127, 0.250)
Si (0.000, 0.126, 0.750)
Si (0.000, 0.381, 0.532)
Rh (0.000, 0.000, 0.000)
Rh (0.000, 0.203, 0.578)
Rh (0.000, 0.461, 0.149)

(3)
Material: BaMnBe2
Method: DFT, PBE
State: relaxed

Values from the calculation:
relative energy among the computed polymorphs = 0.005 eV per atom
D(E_F) = 2.87 states/eV/f.u.
E_form = 0.299 eV/atom

a b c (Å): 6.973 4.023 6.281
angles (deg): 90.00 111.47 90.00
Space group C2/m (No. 12)
One atom of each set of equivalent atoms:
Ba (0.000, 0.000, 0.000)
Mn (0.000, 0.500, 0.500)
Be (0.179, 0.000, 0.537)

Number 2 is which compound? PaSi3Rh5

Which formula does entry 1 have? Ti5CO

The highest D(E_F) belongs to which entry? PaSi3Rh5

Copy entry 3 word for word.
Material: BaMnBe2
Method: DFT, PBE
State: relaxed

Values from the calculation:
relative energy among the computed polymorphs = 0.005 eV per atom
D(E_F) = 2.87 states/eV/f.u.
E_form = 0.299 eV/atom

a b c (Å): 6.973 4.023 6.281
angles (deg): 90.00 111.47 90.00
Space group C2/m (No. 12)
One atom of each set of equivalent atoms:
Ba (0.000, 0.000, 0.000)
Mn (0.000, 0.500, 0.500)
Be (0.179, 0.000, 0.537)